DFT (GGA-PBE) results for a geometry-optimized Rb2GeCCl6 structure.

The space group is Fm-3m (No. 225) and the conventional cell measures 9.9808, 9.9808 and 9.9808 Å, with angles of 90.00, 90.00 and 90.00 degrees. The distinct sites, in fractional coordinates, are Rb at (0.2500, 0.2500, 0.2500), Ge at (0.0000, 0.0000, 0.0000), C at (0.0000, 0.0000, 0.5000) and Cl at (0.0000, 0.0000, 0.2603).

As for the volume: 24.86 A^3/atom. The uncorrected formation energy comes out at -0.626 eV/atom.

DFT (GGA-PBE) results for a geometry-optimized GeCS2Cl structure.

The space group is P4/mmm (No. 123) and the conventional cell measures 4.1344, 4.1344 and 4.7504 Å, with angles of 90.00, 90.00 and 90.00 degrees. The distinct sites, in fractional coordinates, are Ge at (0.0000, 0.0000, 0.0000), C at (0.5000, 0.5000, 0.5000), S at (0.0000, 0.5000, 0.5000) and Cl at (0.5000, 0.5000, 0.0000).

As for the volume: 16.24 A^3/atom. The value obtained for the energy relative to the lowest polymorph listed for this composition is 0 meV per atom. The uncorrected formation energy comes out at 0.988 eV/atom.

DFT (GGA-PBE) results for a geometry-optimized GeCS2Cl structure.

The space group is P4/mmm (No. 123) and the conventional cell measures 4.7288, 4.7288 and 4.7098 Å, with angles of 90.00, 90.00 and 90.00 degrees. The distinct sites, in fractional coordinates, are Ge at (0.0000, 0.0000, 0.0000), C at (0.5000, 0.5000, 0.5000), S at (0.0000, 0.5000, 0.0000) and Cl at (0.0000, 0.0000, 0.5000).

As for the volume: 21.06 A^3/atom. The value obtained for the energy relative to the lowest polymorph listed for this composition is 682 meV per atom. The uncorrected formation energy comes out at 1.671 eV/atom.

DFT (GGA-PBE) results for a geometry-optimized GeSbCCl2 structure.

The space group is P4/mmm (No. 123) and the conventional cell measures 5.5985, 5.5985 and 3.4571 Å, with angles of 90.00, 90.00 and 90.00 degrees. The distinct sites, in fractional coordinates, are Ge at (0.0000, 0.0000, 0.0000), Sb at (0.5000, 0.5000, 0.5000), C at (0.0000, 0.0000, 0.5000) and Cl at (0.0000, 0.5000, 0.0000).

As for the volume: 21.67 A^3/atom. The value obtained for the energy relative to the lowest polymorph listed for this composition is 0 meV per atom. The uncorrected formation energy comes out at 0.842 eV/atom.

DFT (GGA-PBE) results for a geometry-optimized GeSbCCl2 structure.

The space group is P4/mmm (No. 123) and the conventional cell measures 5.1491, 5.1491 and 5.9571 Å, with angles of 90.00, 90.00 and 90.00 degrees. The distinct sites, in fractional coordinates, are Ge at (0.0000, 0.0000, 0.0000), Sb at (0.0000, 0.0000, 0.5000), C at (0.5000, 0.5000, 0.0000) and Cl at (0.0000, 0.5000, 0.5000).

As for the volume: 31.59 A^3/atom. The value obtained for the energy relative to the lowest polymorph listed for this composition is 578 meV per atom. The uncorrected formation energy comes out at 1.420 eV/atom.

DFT (GGA-PBE) results for a geometry-optimized GeC2SeCl structure.

The space group is P4/mmm (No. 123) and the conventional cell measures 3.9371, 3.9371 and 5.7644 Å, with angles of 90.00, 90.00 and 90.00 degrees. The distinct sites, in fractional coordinates, are Ge at (0.0000, 0.0000, 0.0000), C at (0.0000, 0.5000, 0.5000), Se at (0.0000, 0.0000, 0.5000) and Cl at (0.5000, 0.5000, 0.0000).

As for the volume: 17.87 A^3/atom. The uncorrected formation energy comes out at 1.991 eV/atom.

Please write out number 3 again, unchanged.
DFT (GGA-PBE) results for a geometry-optimized GeCS2Cl structure.

The space group is P4/mmm (No. 123) and the conventional cell measures 4.7288, 4.7288 and 4.7098 Å, with angles of 90.00, 90.00 and 90.00 degrees. The distinct sites, in fractional coordinates, are Ge at (0.0000, 0.0000, 0.0000), C at (0.5000, 0.5000, 0.5000), S at (0.0000, 0.5000, 0.0000) and Cl at (0.0000, 0.0000, 0.5000).

As for the volume: 21.06 A^3/atom. The value obtained for the energy relative to the lowest polymorph listed for this composition is 682 meV per atom. The uncorrected formation energy comes out at 1.671 eV/atom.

Question: Number 3 is which compound?
Answer: GeCS2Cl

Question: Look up the volume of the first one.
Answer: 24.86 A^3/atom

Question: What is the volume in the fifth record?
Answer: 31.59 A^3/atom